[1]
# PBE TaTeAs2, relaxed
data_TaTeAs2
_cell_length_a 9.1655
_cell_length_b 3.5312
_cell_length_c 6.0517
_cell_angle_alpha 90.00
_cell_angle_beta 100.86
_cell_angle_gamma 90.00
_symmetry_space_group_name_H-M 'C 1 m 1'
_symmetry_Int_Tables_number 8
_symmetry_space_group_name_Hall 'C -2y'
loop_
_atom_site_label
_atom_site_type_symbol
_atom_site_fract_x
_atom_site_fract_y
_atom_site_fract_z
_atom_site_occupancy
Ta1 Ta 0.0000 0.0000 0.0000 1
Te1 Te 0.3466 0.0000 0.6568 1
As1 As 0.0348 0.5000 0.3253 1
As2 As 0.2129 0.5000 0.0249 1
# * E_form (uncorrected): -0.36 eV per formula unit
# * density: 7914 kg/m3
# * calculated total energy: -24.65 eV/f.u.
# * size of the total moment: 0.000 μB/f.u.

---

[2]
# PBE Ca2NdHg, relaxed
data_Ca2NdHg
_cell_length_a 3.6778
_cell_length_b 3.6778
_cell_length_c 35.6698
_cell_angle_alpha 90.00
_cell_angle_beta 90.00
_cell_angle_gamma 120.00
_symmetry_space_group_name_H-M 'R -3 m'
_symmetry_Int_Tables_number 166
_symmetry_space_group_name_Hall '-R 3 2"'
loop_
_atom_site_label
_atom_site_type_symbol
_atom_site_fract_x
_atom_site_fract_y
_atom_site_fract_z
_atom_site_occupancy
Ca1 Ca 0.0000 0.0000 0.1001 1
Nd1 Nd 0.0000 0.0000 0.0000 1
Hg1 Hg 0.0000 0.0000 0.5000 1
# * formation energy from the elements: -0.012 eV per atom
# * density: 5067 kg/m3
# * calculated total energy: -9.12 eV/f.u.
# * energy above the lowest structure with this stoichiometry: 197 meV per atom
# * size of the total moment: 0.000 μB/f.u.

---

[3]
# PBE La2SmGd, relaxed
data_La2SmGd
_cell_length_a 8.2788
_cell_length_b 8.2788
_cell_length_c 8.2788
_cell_angle_alpha 90.00
_cell_angle_beta 90.00
_cell_angle_gamma 90.00
_symmetry_space_group_name_H-M 'F m -3 m'
_symmetry_Int_Tables_number 225
_symmetry_space_group_name_Hall '-F 4 2 3'
loop_
_atom_site_label
_atom_site_type_symbol
_atom_site_fract_x
_atom_site_fract_y
_atom_site_fract_z
_atom_site_occupancy
La1 La 0.2500 0.2500 0.2500 1
Sm1 Sm 0.0000 0.0000 0.0000 1
Gd1 Gd 0.0000 0.0000 0.5000 1
# * formation energy from the elements: 0.100 eV per atom
# * density: 6853 kg/m3
# * calculated total energy: -28.26 eV/f.u.
# * energy above the lowest structure with this stoichiometry: 86 meV per atom
# * size of the total moment: 8.003 μB/f.u.

---

[4]
# PBE Tb6TlGa2, relaxed
data_Tb6TlGa2
_cell_length_a 9.7136
_cell_length_b 9.7516
_cell_length_c 10.6325
_cell_angle_alpha 90.00
_cell_angle_beta 90.00
_cell_angle_gamma 90.00
_symmetry_space_group_name_H-M 'I m m m'
_symmetry_Int_Tables_number 71
_symmetry_space_group_name_Hall '-I 2 2'
loop_
_atom_site_label
_atom_site_type_symbol
_atom_site_fract_x
_atom_site_fract_y
_atom_site_fract_z
_atom_site_occupancy
Tb1 Tb 0.0000 0.2030 0.2401 1
Tb2 Tb 0.2033 0.5000 0.1786 1
Tb3 Tb 0.2214 0.3165 0.5000 1
Tl1 Tl 0.0000 0.0000 0.0000 1
Tl2 Tl 0.0000 0.0000 0.5000 1
Ga1 Ga 0.0000 0.3546 0.0000 1
Ga2 Ga 0.0000 0.5000 0.3793 1
# * formation energy from the elements: -0.394 eV per atom
# * density: 8556 kg/m3
# * calculated total energy: -39.75 eV/f.u.
# * size of the total moment: 0.000 μB/f.u.

---

[5]
# PBE Mg2AlV3S8, relaxed
data_Mg2AlV3S8
_cell_length_a 7.1952
_cell_length_b 7.1952
_cell_length_c 17.9784
_cell_angle_alpha 90.00
_cell_angle_beta 90.00
_cell_angle_gamma 120.00
_symmetry_space_group_name_H-M 'R -3 m'
_symmetry_Int_Tables_number 166
_symmetry_space_group_name_Hall '-R 3 2"'
loop_
_atom_site_label
_atom_site_type_symbol
_atom_site_fract_x
_atom_site_fract_y
_atom_site_fract_z
_atom_site_occupancy
Mg1 Mg 0.0000 0.0000 0.1250 1
Al1 Al 0.0000 0.0000 0.5000 1
V1 V 0.0000 0.5000 0.0000 1
S1 S 0.0000 0.0000 0.2615 1
S2 S 0.0326 0.5163 0.2525 1
# * E_form (uncorrected): -14.41 eV per formula unit
# * density: 2997 kg/m3
# * calculated total energy: -81.72 eV/f.u.
# * size of the total moment: 6.000 μB/f.u.

---

[6]
# PBE TmCdBi, relaxed
data_TmCdBi
_cell_length_a 4.9334
_cell_length_b 4.9334
_cell_length_c 25.1673
_cell_angle_alpha 90.00
_cell_angle_beta 90.00
_cell_angle_gamma 120.00
_symmetry_space_group_name_H-M 'R -3 m'
_symmetry_Int_Tables_number 166
_symmetry_space_group_name_Hall '-R 3 2"'
loop_
_atom_site_label
_atom_site_type_symbol
_atom_site_fract_x
_atom_site_fract_y
_atom_site_fract_z
_atom_site_occupancy
Tm1 Tm 0.0000 0.0000 0.0726 1
Cd1 Cd 0.0000 0.0000 0.3411 1
Bi1 Bi 0.0000 0.0000 0.2100 1
# * formation energy from the elements: -0.234 eV per atom
# * density: 9209 kg/m3
# * calculated total energy: -9.97 eV/f.u.
# * energy above the lowest structure with this stoichiometry: 12 meV per atom
# * size of the total moment: 0.000 μB/f.u.

---

[7]
# PBE ThBS2, relaxed
data_ThBS2
_cell_length_a 3.2724
_cell_length_b 3.2724
_cell_length_c 23.8723
_cell_angle_alpha 90.00
_cell_angle_beta 90.00
_cell_angle_gamma 120.00
_symmetry_space_group_name_H-M 'R -3 m'
_symmetry_Int_Tables_number 166
_symmetry_space_group_name_Hall '-R 3 2"'
loop_
_atom_site_label
_atom_site_type_symbol
_atom_site_fract_x
_atom_site_fract_y
_atom_site_fract_z
_atom_site_occupancy
Th1 Th 0.0000 0.0000 0.0000 1
B1 B 0.0000 0.0000 0.5000 1
S1 S 0.0000 0.0000 0.1180 1
# * E_form (uncorrected): 0.65 eV per formula unit
# * density: 6908 kg/m3
# * calculated total energy: -21.70 eV/f.u.
# * size of the total moment: 0.230 μB/f.u.

---

[8]
# PBE Ce2RhAu, relaxed
data_Ce2RhAu
_cell_length_a 4.0807
_cell_length_b 4.0807
_cell_length_c 21.4924
_cell_angle_alpha 90.00
_cell_angle_beta 90.00
_cell_angle_gamma 120.00
_symmetry_space_group_name_H-M 'R 3 m'
_symmetry_Int_Tables_number 160
_symmetry_space_group_name_Hall 'R 3 -2"'
loop_
_atom_site_label
_atom_site_type_symbol
_atom_site_fract_x
_atom_site_fract_y
_atom_site_fract_z
_atom_site_occupancy
Ce1 Ce 0.0000 0.0000 0.0000 1
Ce2 Ce 0.0000 0.0000 0.1869 1
Rh1 Rh 0.0000 0.0000 0.5932 1
Au1 Au 0.0000 0.0000 0.4271 1
# * formation energy from the elements: -0.618 eV per atom
# * density: 9324 kg/m3
# * calculated total energy: -24.97 eV/f.u.
# * size of the total moment: 1.322 μB/f.u.

---

[9]
# PBE Sn2BSb, relaxed
data_Sn2BSb
_cell_length_a 5.9968
_cell_length_b 5.9968
_cell_length_c 11.5792
_cell_angle_alpha 90.00
_cell_angle_beta 90.00
_cell_angle_gamma 90.00
_symmetry_space_group_name_H-M 'I -4 2 d'
_symmetry_Int_Tables_number 122
_symmetry_space_group_name_Hall 'I -4 2bw'
loop_
_atom_site_label
_atom_site_type_symbol
_atom_site_fract_x
_atom_site_fract_y
_atom_site_fract_z
_atom_site_occupancy
Sn1 Sn 0.1669 0.2500 0.1250 1
B1 B 0.0000 0.0000 0.0000 1
Sb1 Sb 0.0000 0.0000 0.5000 1
# * E_form (uncorrected): 1.06 eV per formula unit
# * density: 5902 kg/m3
# * calculated total energy: -17.75 eV/f.u.
# * energy above the lowest structure with this stoichiometry: 0 meV per atom
# * size of the total moment: 0.000 μB/f.u.

---

[10]
# PBE SmYRh, relaxed
data_SmYRh
_cell_length_a 7.0361
_cell_length_b 5.9031
_cell_length_c 10.5844
_cell_angle_alpha 90.00
_cell_angle_beta 129.94
_cell_angle_gamma 90.00
_symmetry_space_group_name_H-M 'P 1 21/c 1'
_symmetry_Int_Tables_number 14
_symmetry_space_group_name_Hall '-P 2ybc'
loop_
_atom_site_label
_atom_site_type_symbol
_atom_site_fract_x
_atom_site_fract_y
_atom_site_fract_z
_atom_site_occupancy
Sm1 Sm 0.1911 0.1424 0.3777 1
Y1 Y 0.3244 0.6289 0.6264 1
Rh1 Rh 0.3303 0.6648 0.3641 1
# * formation energy from the elements: -0.497 eV per atom
# * density: 6742 kg/m3
# * calculated total energy: -20.03 eV/f.u.
# * energy above the lowest structure with this stoichiometry: 58 meV per atom
# * size of the total moment: 0.000 μB/f.u.

---

[11]
# PBE Ce3Bi2Br2, relaxed
data_Ce3Bi2Br2
_cell_length_a 14.4309
_cell_length_b 4.5353
_cell_length_c 7.2089
_cell_angle_alpha 90.00
_cell_angle_beta 94.94
_cell_angle_gamma 90.00
_symmetry_space_group_name_H-M 'C 1 2/m 1'
_symmetry_Int_Tables_number 12
_symmetry_space_group_name_Hall '-C 2y'
loop_
_atom_site_label
_atom_site_type_symbol
_atom_site_fract_x
_atom_site_fract_y
_atom_site_fract_z
_atom_site_occupancy
Ce1 Ce 0.0000 0.0000 0.0000 1
Ce2 Ce 0.2473 0.5000 0.2405 1
Bi1 Bi 0.1149 0.0000 0.3902 1
Br1 Br 0.1209 0.5000 0.8726 1
# * E_form (uncorrected): -6.08 eV per formula unit
# * density: 7052 kg/m3
# * calculated total energy: -34.99 eV/f.u.
# * size of the total moment: 3.308 μB/f.u.

---

[12]
# PBE BaAuBr, relaxed
data_BaAuBr
_cell_length_a 6.5045
_cell_length_b 6.7306
_cell_length_c 9.1410
_cell_angle_alpha 90.00
_cell_angle_beta 93.30
_cell_angle_gamma 90.00
_symmetry_space_group_name_H-M 'C 1 2/m 1'
_symmetry_Int_Tables_number 12
_symmetry_space_group_name_Hall '-C 2y'
loop_
_atom_site_label
_atom_site_type_symbol
_atom_site_fract_x
_atom_site_fract_y
_atom_site_fract_z
_atom_site_occupancy
Ba1 Ba 0.2277 0.0000 0.2536 1
Au1 Au 0.0000 0.2811 0.0000 1
Br1 Br 0.2394 0.5000 0.3689 1
# * E_form (uncorrected): -4.03 eV per formula unit
# * density: 6886 kg/m3
# * calculated total energy: -10.90 eV/f.u.
# * energy above the lowest structure with this stoichiometry: 49 meV per atom
# * size of the total moment: 0.000 μB/f.u.

---

[13]
# PBE Zr12MnBi6, relaxed
data_Zr12MnBi6
_cell_length_a 12.4347
_cell_length_b 12.4347
_cell_length_c 11.0321
_cell_angle_alpha 90.00
_cell_angle_beta 90.00
_cell_angle_gamma 120.00
_symmetry_space_group_name_H-M 'R -3'
_symmetry_Int_Tables_number 148
_symmetry_space_group_name_Hall '-R 3'
loop_
_atom_site_label
_atom_site_type_symbol
_atom_site_fract_x
_atom_site_fract_y
_atom_site_fract_z
_atom_site_occupancy
Zr1 Zr 0.0262 0.8633 0.3783 1
Zr2 Zr 0.0710 0.8885 0.8717 1
Mn1 Mn 0.0000 0.0000 0.0000 1
Bi1 Bi 0.0357 0.6303 0.2985 1
# * formation energy from the elements: -0.020 eV per atom
# * density: 8105 kg/m3
# * calculated total energy: -135.41 eV/f.u.
# * size of the total moment: 0.002 μB/f.u.

---

[14]
# PBE Ni3PdN, relaxed
data_Ni3PdN
_cell_length_a 5.0598
_cell_length_b 9.1481
_cell_length_c 4.8465
_cell_angle_alpha 90.00
_cell_angle_beta 90.00
_cell_angle_gamma 90.00
_symmetry_space_group_name_H-M 'C m c m'
_symmetry_Int_Tables_number 63
_symmetry_space_group_name_Hall '-C 2c 2'
loop_
_atom_site_label
_atom_site_type_symbol
_atom_site_fract_x
_atom_site_fract_y
_atom_site_fract_z
_atom_site_occupancy
Ni1 Ni 0.0000 0.0000 0.0000 1
Ni2 Ni 0.2414 0.2979 0.2500 1
Pd1 Pd 0.0000 0.4421 0.7500 1
N1 N 0.0000 0.1528 0.2500 1
# * E_form (uncorrected): 1.06 eV per formula unit
# * density: 8779 kg/m3
# * calculated total energy: -29.80 eV/f.u.
# * size of the total moment: 0.000 μB/f.u.

---

[15]
# PBE KZrInF6, relaxed
data_KZrInF6
_cell_length_a 6.5937
_cell_length_b 6.5937
_cell_length_c 9.6364
_cell_angle_alpha 90.00
_cell_angle_beta 90.00
_cell_angle_gamma 120.00
_symmetry_space_group_name_H-M 'P -3 1 c'
_symmetry_Int_Tables_number 163
_symmetry_space_group_name_Hall '-P 3 2c'
loop_
_atom_site_label
_atom_site_type_symbol
_atom_site_fract_x
_atom_site_fract_y
_atom_site_fract_z
_atom_site_occupancy
K1 K 0.3333 0.6667 0.2500 1
Zr1 Zr 0.3333 0.6667 0.7500 1
In1 In 0.0000 0.0000 0.0000 1
F1 F 0.0731 0.4080 0.6331 1
# * E_form (uncorrected): -27.83 eV per formula unit
# * density: 3287 kg/m3
# * calculated total energy: -51.45 eV/f.u.
# * size of the total moment: 0.000 μB/f.u.

---

[16]
# PBE CsYV2Cl, relaxed
data_CsYV2Cl
_cell_length_a 4.6301
_cell_length_b 4.6301
_cell_length_c 5.9172
_cell_angle_alpha 90.00
_cell_angle_beta 90.00
_cell_angle_gamma 90.00
_symmetry_space_group_name_H-M 'P 4/m m m'
_symmetry_Int_Tables_number 123
_symmetry_space_group_name_Hall '-P 4 2'
loop_
_atom_site_label
_atom_site_type_symbol
_atom_site_fract_x
_atom_site_fract_y
_atom_site_fract_z
_atom_site_occupancy
Cs1 Cs 0.0000 0.0000 0.0000 1
Y1 Y 0.5000 0.5000 0.0000 1
V1 V 0.0000 0.5000 0.5000 1
Cl1 Cl 0.0000 0.0000 0.5000 1
# * E_form (uncorrected): 4.47 eV per formula unit
# * density: 4701 kg/m3
# * calculated total energy: -22.94 eV/f.u.
# * size of the total moment: 3.762 μB/f.u.

---

[17]
# PBE HfHO3, relaxed
data_HfHO3
_cell_length_a 4.0845
_cell_length_b 4.0845
_cell_length_c 4.0845
_cell_angle_alpha 90.00
_cell_angle_beta 90.00
_cell_angle_gamma 90.00
_symmetry_space_group_name_H-M 'P m -3 m'
_symmetry_Int_Tables_number 221
_symmetry_space_group_name_Hall '-P 4 2 3'
loop_
_atom_site_label
_atom_site_type_symbol
_atom_site_fract_x
_atom_site_fract_y
_atom_site_fract_z
_atom_site_occupancy
Hf1 Hf 0.0000 0.0000 0.0000 1
H1 H 0.5000 0.5000 0.5000 1
O1 O 0.0000 0.0000 0.5000 1
# * density: 5544 kg/m3
# * calculated total energy: -34.07 eV/f.u.
# * size of the total moment: 1.000 μB/f.u.

---

[18]
# PBE NaLiTl2Cl4, relaxed
data_NaLiTl2Cl4
_cell_length_a 11.9929
_cell_length_b 11.9491
_cell_length_c 8.4398
_cell_angle_alpha 90.00
_cell_angle_beta 134.65
_cell_angle_gamma 90.00
_symmetry_space_group_name_H-M 'C 1 2/c 1'
_symmetry_Int_Tables_number 15
_symmetry_space_group_name_Hall '-C 2yc'
loop_
_atom_site_label
_atom_site_type_symbol
_atom_site_fract_x
_atom_site_fract_y
_atom_site_fract_z
_atom_site_occupancy
Na1 Na 0.2500 0.2500 0.0000 1
Li1 Li 0.0000 0.0000 0.0000 1
Tl1 Tl 0.0000 0.5000 0.0000 1
Tl2 Tl 0.2500 0.2500 0.5000 1
Cl1 Cl 0.0000 0.2280 0.5250 1
Cl2 Cl 0.2145 0.0119 0.9654 1
# * E_form (uncorrected): -10.85 eV per formula unit
# * density: 4481 kg/m3
# * calculated total energy: -26.20 eV/f.u.
# * size of the total moment: 0.000 μB/f.u.

---

[19]
# PBE PrDy4Ga5, relaxed
data_PrDy4Ga5
_cell_length_a 3.5983
_cell_length_b 3.5983
_cell_length_c 18.0190
_cell_angle_alpha 90.00
_cell_angle_beta 90.00
_cell_angle_gamma 90.00
_symmetry_space_group_name_H-M 'P 4/m m m'
_symmetry_Int_Tables_number 123
_symmetry_space_group_name_Hall '-P 4 2'
loop_
_atom_site_label
_atom_site_type_symbol
_atom_site_fract_x
_atom_site_fract_y
_atom_site_fract_z
_atom_site_occupancy
Pr1 Pr 0.0000 0.0000 0.0000 1
Dy1 Dy 0.0000 0.0000 0.2062 1
Dy2 Dy 0.0000 0.0000 0.4022 1
Ga1 Ga 0.5000 0.5000 0.1102 1
Ga2 Ga 0.5000 0.5000 0.3045 1
Ga3 Ga 0.5000 0.5000 0.5000 1
# * formation energy from the elements: -0.578 eV per atom
# * density: 8110 kg/m3
# * calculated total energy: -44.10 eV/f.u.
# * size of the total moment: 0.000 μB/f.u.

---

[20]
# PBE PrZrIr2, relaxed
data_PrZrIr2
_cell_length_a 3.3824
_cell_length_b 3.3824
_cell_length_c 7.1398
_cell_angle_alpha 90.00
_cell_angle_beta 90.00
_cell_angle_gamma 90.00
_symmetry_space_group_name_H-M 'P 4/m m m'
_symmetry_Int_Tables_number 123
_symmetry_space_group_name_Hall '-P 4 2'
loop_
_atom_site_label
_atom_site_type_symbol
_atom_site_fract_x
_atom_site_fract_y
_atom_site_fract_z
_atom_site_occupancy
Pr1 Pr 0.0000 0.0000 0.0000 1
Zr1 Zr 0.0000 0.0000 0.5000 1
Ir1 Ir 0.5000 0.5000 0.2873 1
# * formation energy from the elements: -0.658 eV per atom
# * density: 12535 kg/m3
# * calculated total energy: -33.68 eV/f.u.
# * energy above the lowest structure with this stoichiometry: 0 meV per atom
# * size of the total moment: 0.000 μB/f.u.